# 1
# Cs3Sm2PbSe6 PBE relaxed
data_Cs3Sm2PbSe6
_cell_length_a 7.584
_cell_length_b 13.142
_cell_length_c 8.769
_cell_angle_alpha 90.00
_cell_angle_beta 106.71
_cell_angle_gamma 90.00
_space_group_name_H-M_alt 'C 1 2/m 1'
_space_group_IT_number 12
loop_
_space_group_symop_operation_xyz
'x,y,z'
'-x,-y,-z'
'-x,y,-z'
'x,-y,z'
'x+1/2,y+1/2,z'
'-x+1/2,-y+1/2,-z'
'-x+1/2,y+1/2,-z'
'x+1/2,-y+1/2,z'
loop_
_atom_site_label
_atom_site_type_symbol
_atom_site_fract_x
_atom_site_fract_y
_atom_site_fract_z
Cs1 Cs 0.000 0.000 0.000
Cs2 Cs 0.000 0.336 0.000
Sm1 Sm 0.000 0.167 0.500
Pb1 Pb 0.000 0.500 0.500
Se1 Se 0.222 0.000 0.690
Se2 Se 0.234 0.330 0.691
# D(E_F): 0.455 states/eV/atom
# V: 837 Å³ per cell


# 2
# CsSnPbSe2 PBE relaxed
data_CsSnPbSe2
_cell_length_a 5.538
_cell_length_b 5.538
_cell_length_c 6.290
_cell_angle_alpha 90.00
_cell_angle_beta 90.00
_cell_angle_gamma 90.00
_space_group_name_H-M_alt 'P 4/m m m'
_space_group_IT_number 123
_space_group_name_Hall '-P 4 2'
loop_
_atom_site_label
_atom_site_type_symbol
_atom_site_fract_x
_atom_site_fract_y
_atom_site_fract_z
Cs1 Cs 0.000 0.000 0.000
Sn1 Sn 0.000 0.000 0.500
Pb1 Pb 0.500 0.500 0.000
Se1 Se 0.000 0.500 0.500
# D(E_F): 0.869 states/eV/atom
# V: 193 Å³ per cell


Number 1: formation energy from raw total energies -1.362 eV/atom. Number 2: formation energy from raw total energies 0.210 eV/atom.